The following is a PBE with a Hubbard U calculation of a relaxed structure of ZrMnV2O6, from the Alexandria database.

Unit cell a=5.3118 b=5.3171 c=5.6032 alpha=90.11 beta=117.56 gamma=119.66
With the nearest neighbours (Å) after each atom.
Space group P1 (No. 1)
Asymmetric unit:
Zr  0.0000  0.0000  0.0000 (multiplicity 1)  6 O 2.06-2.25
Mn  0.0052  0.5056  0.5140 (multiplicity 1)  6 O 2.13-2.37
V  0.5774  0.2949  0.8710 (multiplicity 1)  6 O 2.00-2.15
V  0.5775  0.7924  0.3722 (multiplicity 1)  6 O 2.04-2.11
O  0.0698  0.9154  0.6606 (multiplicity 1)  2 V 2.07-2.10, 1 Mn 2.13, 1 Zr 2.18
O  0.0884  0.6842  0.1592 (multiplicity 1)  2 V 2.04-2.15, 1 Zr 2.06
O  0.4702  0.4028  0.1539 (multiplicity 1)  1 Zr 2.07, 2 V 2.07-2.08
O  0.4955  0.5804  0.6676 (multiplicity 1)  2 V 2.00-2.09, 1 Mn 2.14
O  0.7406  0.0684  0.1521 (multiplicity 1)  2 V 2.04-2.11, 1 Zr 2.08
O  0.7432  0.1692  0.6694 (multiplicity 1)  2 V 2.00-2.11, 1 Mn 2.13, 1 Zr 2.23

Results
As for the theoretical density: 4.91 g/cm3. The total energy comes out at -8.397 eV/atom. The calculated volume is 11.631 Å³ per atom. Its total magnetic moment is 9.00 μB per formula unit.